# 1
Here is a relaxed NaSrPCl2 crystal from Alexandria via LeMat-Bulk. Energies are from PBE-GGA.

Output
symmetry = P4/mmm (123)
ΔE to the lowest computed polymorph = 0.075 eV per atom
ΔE_f (raw) = -4.4 eV/f.u.
crystal system = tetragonal
magnetization = 2.00 μB per formula unit

a b c (Å): 5.045 5.045 5.436
angles (deg): 90.00 90.00 90.00
Each line ends with the local moment (μB).
Fractional coordinates of all 5 atoms:
Cl 0.500 0.000 0.000  0.09
Cl 0.000 0.500 0.000  0.09
Sr 0.500 0.500 0.500  0.01
P 0.000 0.000 0.500  0.73
Na 0.000 0.000 0.000  0.02

# 2
Here is a relaxed MnGaS2 crystal from Alexandria via LeMat-Bulk. Energies are from PBE-GGA.

Output
symmetry = R3m (160)
ΔE to the lowest computed polymorph = 0.000 eV per atom
ΔE_f (raw) = -1.7 eV/f.u.
crystal system = trigonal
magnetization = 4.17 μB per formula unit

a b c (Å): 3.946 3.946 6.952
angles (deg): 73.51 73.51 60.00
Each line ends with the local moment (μB).
Fractional coordinates of all 4 atoms:
S 0.366 0.366 0.901  -0.07
S 0.859 0.859 0.422  0.01
Mn 0.485 0.485 0.546  3.99
Ga 0.982 0.982 0.053  -0.10

# 3
Here is a relaxed TbPrEr2Tm2 crystal from Alexandria via LeMat-Bulk. Energies are from PBE-GGA.

Output
symmetry = Pnnm (58)
crystal system = orthorhombic
energy relative to the elements = 285 meV/atom
magnetization = 0.00 μB per formula unit

a b c (Å): 3.386 6.514 17.694
angles (deg): 90.00 90.00 90.00
Fractional coordinates of all 12 atoms:
Tm 0.500 0.780 0.649
Tm 0.000 0.280 0.851
Tm 0.000 0.720 0.149
Tm 0.500 0.220 0.351
Er 0.000 0.778 0.814
Er 0.000 0.222 0.186
Er 0.500 0.722 0.314
Er 0.500 0.278 0.686
Pr 0.000 0.000 0.000
Pr 0.500 0.500 0.500
Tb 0.000 0.000 0.500
Tb 0.500 0.500 0.000